(1)
## CsCuPb (PBE-GGA)

Data for an optimized crystal structure of CsCuPb.

For the volume, the calculation gives 43.10 Å³/atom. As for the energy of formation from the pure elements: 37 meV/atom. Its total energy is -2.8489 eV per atom. As for the crystal system: monoclinic.

The structure belongs to space group C2/m (No. 12); the cell edges are 7.128, 6.939 and 10.474 Å and the angles 90.00°, 93.25° and 90.00°. The asymmetric unit holds Cs at (0.230, 0.000, 0.295), Cu at (0.000, 0.181, 0.000) and Pb at (0.196, 0.500, 0.097).

***

(2)
## MnHIr2Os (PBE-GGA)

Data for an optimized crystal structure of MnHIr2Os.

For the volume, the calculation gives 11.65 Å³/atom. Its total energy is -8.2023 eV per atom. As for the crystal system: tetragonal.

The structure belongs to space group P4/mmm (No. 123); the cell edges are 3.866, 3.866 and 3.897 Å and the angles 90.00°, 90.00° and 90.00°. The asymmetric unit holds Mn at (0.000, 0.000, 0.000), H at (0.000, 0.000, 0.500), Ir at (0.000, 0.500, 0.500) and Os at (0.500, 0.500, 0.000).

***

(3)
## Hf2GePb (PBE-GGA)

Data for an optimized crystal structure of Hf2GePb.

For the volume, the calculation gives 21.21 Å³/atom. As for the energy of formation from the pure elements: 50 meV/atom. The energy above the most stable polymorph in this dataset comes out at 284.6 meV per atom. Its total energy is -7.0086 eV per atom. As for the crystal system: cubic.

The structure belongs to space group Fm-3m (No. 225); the cell edges are 6.975, 6.975 and 6.975 Å and the angles 90.00°, 90.00° and 90.00°. The asymmetric unit holds Hf at (0.250, 0.250, 0.250), Ge at (0.000, 0.000, 0.000) and Pb at (0.000, 0.000, 0.500).

***

(4)
## OsPtSe (PBE-GGA)

Data for an optimized crystal structure of OsPtSe.

For the volume, the calculation gives 18.34 Å³/atom. The energy above the most stable polymorph in this dataset comes out at 77.7 meV per atom. Its total energy is -6.4718 eV per atom. The calculation puts the formation energy from raw total energies at 1.3 eV/f.u. As for the crystal system: cubic.

The structure belongs to space group F-43m (No. 216); the cell edges are 6.037, 6.037 and 6.037 Å and the angles 90.00°, 90.00° and 90.00°. The asymmetric unit holds Os at (0.000, 0.000, 0.000), Pt at (0.250, 0.250, 0.750) and Se at (0.250, 0.250, 0.250).

***

(5)
## RbCo3Pd (PBE-GGA)

Data for an optimized crystal structure of RbCo3Pd.

For the volume, the calculation gives 18.29 Å³/atom. As for the energy of formation from the pure elements: 2504 meV/atom. The energy above the most stable polymorph in this dataset comes out at 1292.9 meV per atom. Its total energy is -2.9915 eV per atom. As for the crystal system: cubic.

The structure belongs to space group Pm-3m (No. 221); the cell edges are 4.505, 4.505 and 4.505 Å and the angles 90.00°, 90.00° and 90.00°. The asymmetric unit holds Rb at (0.000, 0.000, 0.000), Co at (0.000, 0.000, 0.500) and Pd at (0.500, 0.500, 0.500).

***

(6)
## La4Os5 (PBE-GGA)

Data for an optimized crystal structure of La4Os5.

For the volume, the calculation gives 21.43 Å³/atom. As for the energy of formation from the pure elements: 643 meV/atom. The energy above the most stable polymorph in this dataset comes out at 315.8 meV per atom. Its total energy is -7.7857 eV per atom. As for the crystal system: hexagonal.

The structure belongs to space group P6_3/mcm (No. 193); the cell edges are 8.5180, 8.5180 and 6.1395 Å and the angles 90.00°, 90.00° and 120.00°. The asymmetric unit holds La at (0.0000, 0.0000, 0.0000), La at (0.0000, 0.3702, 0.2500), Os at (0.0000, 0.3246, 0.7500) and Os at (0.3333, 0.6667, 0.0000).

***

(7)
## Ti7Zn2Au2 (PBE-GGA)

Data for an optimized crystal structure of Ti7Zn2Au2.

For the volume, the calculation gives 17.03 Å³/atom. As for the energy of formation from the pure elements: -103 meV/atom. Its total energy is -5.9547 eV per atom. As for the crystal system: triclinic.

The structure belongs to space group P-1 (No. 2); the cell edges are 5.209, 6.112 and 6.561 Å and the angles 87.06°, 70.80° and 72.05°. The asymmetric unit holds Ti at (0.000, 0.000, 0.000), Ti at (0.126, 0.316, 0.617), Ti at (0.442, 0.983, 0.219), Ti at (0.494, 0.517, 0.783), Zn at (0.142, 0.348, 0.080) and Au at (0.202, 0.818, 0.583).

***

(8)
## La5Pm2Hg (PBE-GGA)

Data for an optimized crystal structure of La5Pm2Hg.

For the volume, the calculation gives 33.31 Å³/atom. As for the energy of formation from the pure elements: -79 meV/atom. Its total energy is -4.3842 eV per atom. As for the crystal system: monoclinic.

The structure belongs to space group Cm (No. 8); the cell edges are 10.132, 10.252 and 7.210 Å and the angles 90.00°, 134.63° and 90.00°. The asymmetric unit holds La at (0.000, 0.000, 0.000), La at (0.000, 0.500, 0.001), La at (0.000, 0.500, 0.501), La at (0.250, 0.251, 0.501), Pm at (0.250, 0.250, 0.001) and Hg at (0.001, 0.000, 0.501).

***

(9)
## TiFeIN2 (PBE-GGA)

Data for an optimized crystal structure of TiFeIN2.

For the volume, the calculation gives 17.84 Å³/atom. The energy above the most stable polymorph in this dataset comes out at 0.0 meV per atom. Its total energy is -6.2565 eV per atom. The calculation puts the formation energy from raw total energies at 3.3 eV/f.u. As for the crystal system: tetragonal.

The structure belongs to space group P4/mmm (No. 123); the cell edges are 3.906, 3.906 and 5.846 Å and the angles 90.00°, 90.00° and 90.00°. The asymmetric unit holds Ti at (0.000, 0.000, 0.000), Fe at (0.500, 0.500, 0.500), I at (0.000, 0.000, 0.500) and N at (0.000, 0.500, 0.000).

***

(10)
## CaAlAg2Ir (PBE-GGA)

Data for an optimized crystal structure of CaAlAg2Ir.

For the volume, the calculation gives 23.78 Å³/atom. As for the energy of formation from the pure elements: 928 meV/atom. Its total energy is -3.1332 eV per atom. As for the crystal system: tetragonal.

The structure belongs to space group P4/mmm (No. 123); the cell edges are 4.660, 4.660 and 5.474 Å and the angles 90.00°, 90.00° and 90.00°. The asymmetric unit holds Ca at (0.000, 0.000, 0.000), Al at (0.000, 0.000, 0.500), Ag at (0.000, 0.500, 0.500) and Ir at (0.500, 0.500, 0.000).

***

(11)
## CoCuAg2Ir (PBE-GGA)

Data for an optimized crystal structure of CoCuAg2Ir.

For the volume, the calculation gives 23.45 Å³/atom. As for the energy of formation from the pure elements: 1630 meV/atom. Its total energy is -3.5228 eV per atom. As for the crystal system: tetragonal.

The structure belongs to space group P4/mmm (No. 123); the cell edges are 5.051, 5.051 and 4.595 Å and the angles 90.00°, 90.00° and 90.00°. The asymmetric unit holds Co at (0.000, 0.000, 0.000), Cu at (0.500, 0.500, 0.000), Ag at (0.000, 0.500, 0.500) and Ir at (0.500, 0.500, 0.500).

***

(12)
## Nd12Sn6Rh (PBE-GGA)

Data for an optimized crystal structure of Nd12Sn6Rh.

For the volume, the calculation gives 35.34 Å³/atom. As for the energy of formation from the pure elements: -438 meV/atom. Its total energy is -5.1006 eV per atom. As for the crystal system: trigonal.

The structure belongs to space group R-3 (No. 148, hexagonal axes); the cell edges are 13.5604, 13.5604 and 12.6506 Å and the angles 90.00°, 90.00° and 120.00°. The asymmetric unit holds Nd at (0.0331, 0.8315, 0.3944), Nd at (0.0628, 0.8647, 0.8810), Sn at (0.0487, 0.7659, 0.6428) and Rh at (0.0000, 0.0000, 0.0000).